Record 1
# DyY2Co2B2P3 PBE-GGA relaxed
# M_tot (μB/atom): 0.00
# Uncorrected energy (eV per atom): -7.022
data_DyY2Co2B2P3
_chemical_formula_sum 'Dy2 Y4 Co4 B4 P6'
_space_group_name_H-M_alt 'I 4/m m m'
_space_group_IT_number 139
_space_group_name_Hall '-I 4 2'
_cell_length_a 3.858
_cell_length_b 3.858
_cell_length_c 21.854
_cell_angle_alpha 90.00
_cell_angle_beta 90.00
_cell_angle_gamma 90.00
loop_
_atom_site_label
_atom_site_type_symbol
_atom_site_fract_x
_atom_site_fract_y
_atom_site_fract_z
Dy1 Dy 0.000 0.000 0.000
Y1 Y 0.000 0.000 0.362
Co1 Co 0.000 0.500 0.250
B1 B 0.000 0.000 0.215
P1 P 0.000 0.000 0.125
P2 P 0.000 0.000 0.500

Record 2
# Dy2YCo2B2P3 PBE-GGA relaxed
# M_tot (μB/atom): 0.00
# Uncorrected energy (eV per atom): -6.837
data_Dy2YCo2B2P3
_chemical_formula_sum 'Dy4 Y2 Co4 B4 P6'
_space_group_name_H-M_alt 'I 4/m m m'
_space_group_IT_number 139
_space_group_name_Hall '-I 4 2'
_cell_length_a 3.868
_cell_length_b 3.868
_cell_length_c 21.862
_cell_angle_alpha 90.00
_cell_angle_beta 90.00
_cell_angle_gamma 90.00
loop_
_atom_site_label
_atom_site_type_symbol
_atom_site_fract_x
_atom_site_fract_y
_atom_site_fract_z
Dy1 Dy 0.000 0.000 0.138
Y1 Y 0.000 0.000 0.500
Co1 Co 0.000 0.500 0.250
B1 B 0.000 0.000 0.285
P1 P 0.000 0.000 0.000
P2 P 0.000 0.000 0.375

Record 3
# Pr3Dy2Co2B6 PBE-GGA relaxed
# M_tot (μB/atom): 0.00
# Relative energy among the computed polymorphs (eV per atom): 0.000
# Uncorrected energy (eV per atom): -6.443
data_Pr3Dy2Co2B6
_chemical_formula_sum 'Pr9 Dy6 Co6 B18'
_space_group_name_H-M_alt 'R -3 m'
_space_group_IT_number 166
_space_group_name_Hall '-R 3 2"'
_cell_length_a 5.4431
_cell_length_b 5.4431
_cell_length_c 24.3012
_cell_angle_alpha 90.00
_cell_angle_beta 90.00
_cell_angle_gamma 120.00
loop_
_atom_site_label
_atom_site_type_symbol
_atom_site_fract_x
_atom_site_fract_y
_atom_site_fract_z
Pr1 Pr 0.0000 0.0000 0.0000
Pr2 Pr 0.0000 0.0000 0.2537
Dy1 Dy 0.0000 0.0000 0.4209
Co1 Co 0.0000 0.0000 0.1225
B1 B 0.0000 0.3320 0.5000

Record 4
# Pr3Dy2Co2B6 PBE-GGA relaxed
# M_tot (μB/atom): 0.00
# Relative energy among the computed polymorphs (eV per atom): 0.009
# Uncorrected energy (eV per atom): -6.434
data_Pr3Dy2Co2B6
_chemical_formula_sum 'Pr9 Dy6 Co6 B18'
_space_group_name_H-M_alt 'R -3 m'
_space_group_IT_number 166
_space_group_name_Hall '-R 3 2"'
_cell_length_a 5.4425
_cell_length_b 5.4425
_cell_length_c 24.3221
_cell_angle_alpha 90.00
_cell_angle_beta 90.00
_cell_angle_gamma 120.00
loop_
_atom_site_label
_atom_site_type_symbol
_atom_site_fract_x
_atom_site_fract_y
_atom_site_fract_z
Pr1 Pr 0.0000 0.0000 0.0000
Pr2 Pr 0.0000 0.0000 0.4138
Dy1 Dy 0.0000 0.0000 0.2469
Co1 Co 0.0000 0.0000 0.1218
B1 B 0.0000 0.3323 0.5000

Copy entry 2 word for word.
# Dy2YCo2B2P3 PBE-GGA relaxed
# M_tot (μB/atom): 0.00
# Uncorrected energy (eV per atom): -6.837
data_Dy2YCo2B2P3
_chemical_formula_sum 'Dy4 Y2 Co4 B4 P6'
_space_group_name_H-M_alt 'I 4/m m m'
_space_group_IT_number 139
_space_group_name_Hall '-I 4 2'
_cell_length_a 3.868
_cell_length_b 3.868
_cell_length_c 21.862
_cell_angle_alpha 90.00
_cell_angle_beta 90.00
_cell_angle_gamma 90.00
loop_
_atom_site_label
_atom_site_type_symbol
_atom_site_fract_x
_atom_site_fract_y
_atom_site_fract_z
Dy1 Dy 0.000 0.000 0.138
Y1 Y 0.000 0.000 0.500
Co1 Co 0.000 0.500 0.250
B1 B 0.000 0.000 0.285
P1 P 0.000 0.000 0.000
P2 P 0.000 0.000 0.375

- Which of these has the highest uncorrected energy?
  number 4